## Li2VCr3O8 (PBE+U)

Data for an optimized crystal structure of Li2VCr3O8.

Unit cell a=5.9284 b=5.9284 c=9.3625 alpha=90.00 beta=90.00 gamma=119.99
Last column: nearest neighbours and their distance in Å.
Fractional coordinates of all 28 atoms:
Li1 0.3334 0.6666 0.8991  4 O 1.93-2.01
Li2 0.6666 0.3334 0.3991  4 O 1.93-2.01
Li3 0.0001 0.9999 0.9943  1 O 1.76
Li4 0.9999 0.0001 0.4943  1 O 1.76
V1 0.3333 0.6667 0.4941  6 O 1.87-2.03
V2 0.6667 0.3333 0.9941  6 O 1.87-2.03
Cr1 0.1715 0.3430 0.2150  6 O 1.95-2.12
Cr2 0.6570 0.8286 0.2150  6 O 1.95-2.12
Cr3 0.3430 0.1715 0.7150  6 O 1.95-2.12
Cr4 0.8285 0.6570 0.7150  6 O 1.95-2.12
Cr5 0.1715 0.8286 0.2150  6 O 1.95-2.12
Cr6 0.8285 0.1715 0.7150  6 O 1.95-2.12
O1 0.3333 0.6667 0.1051  1 Li 1.93, 3 Cr 1.95
O2 0.6667 0.3333 0.6051  1 Li 1.93, 3 Cr 1.95
O3 0.0000 0.0000 0.3064  1 Li 1.76, 3 Cr 1.96
O4 0.0000 0.0000 0.8064  1 Li 1.76, 3 Cr 1.96
O5 0.1743 0.8257 0.5910  1 V 1.87, 1 Li 2.01
O6 0.1744 0.3487 0.5910  1 V 1.87, 1 Li 2.01
O7 0.3487 0.1744 0.0910  1 V 1.87, 1 Li 2.01
O8 0.6513 0.8256 0.5910  1 V 1.87, 1 Li 2.01
O9 0.8256 0.6513 0.0910  1 V 1.87, 1 Li 2.01
O10 0.8257 0.1743 0.0910  1 V 1.87, 1 Li 2.01
O11 0.0452 0.5226 0.3457  2 Cr 2.00, 1 Li 2.01, 1 V 2.03
O12 0.4774 0.9549 0.3457  2 Cr 2.00, 1 Li 2.01, 1 V 2.03
O13 0.4774 0.5226 0.3457  2 Cr 2.00, 1 Li 2.01, 1 V 2.03
O14 0.5226 0.4774 0.8457  2 Cr 2.00, 1 Li 2.01, 1 V 2.03
O15 0.5226 0.0452 0.8457  2 Cr 2.00, 1 Li 2.01, 1 V 2.03
O16 0.9548 0.4774 0.8457  2 Cr 2.00, 1 Li 2.01, 1 V 2.03

Output
Symmetry = P6_3mc
Total energy = -7.2108 eV/atom
Calculated density = 4.1 g cm⁻³
Size of the total moment = 9.00 μB per formula unit